{
  "formula": "TbMg3Pb3",
  "functional": "PBE-GGA",
  "state": "optimized geometry",
  "lattice": [[5.092, -5.400, 0.000], [5.092, 5.400, 0.000], [-0.033, 0.000, 6.988]],
  "species": ["Tb", "Tb", "Mg", "Mg", "Mg", "Mg", "Mg", "Mg", "Pb", "Pb", "Pb", "Pb", "Pb", "Pb"],
  "frac_coords": [[0.203, 0.203, 0.499], [0.797, 0.797, 0.501], [0.144, 0.856, 0.000], [0.248, 0.752, 0.500], [0.258, 0.258, 0.000], [0.742, 0.742, 0.000], [0.752, 0.248, 0.500], [0.856, 0.144, 0.000], [0.001, 0.500, 0.762], [0.500, 0.001, 0.762], [0.500, 0.500, 0.259], [0.500, 0.500, 0.741], [0.500, 0.999, 0.238], [0.999, 0.500, 0.238]],
  "space_group": "No. 12",
  "delta_e_f_ev_per_fu": -0.623
}